DFT (PBE-GGA) results for an optimized crystal structure of LiLa3O.

spin magnetization	0.00	μB/f.u.
formation energy without anion corrections	48	kJ per mole of atoms
space group	Pm-3m

Cell lengths 5.2135, 5.2135, 5.2135 Å; angles 90.00, 90.00, 90.00 degrees
Last column: nearest neighbours and their distance in Å.
Sites, in units of the cell vectors:
Li: 0.0000 0.0000 0.0000  6 La 2.61
La: 0.0000 0.0000 0.5000  2 Li 2.61
La: 0.0000 0.5000 0.0000  2 Li 2.61
La: 0.5000 0.0000 0.0000  2 Li 2.61
O: 0.5000 0.5000 0.5000  12 La 3.69